Material: ZrMn2Os
Method: DFT, GGA-PBEsol
State: optimized geometry

Results
For the energy relative to the lowest polymorph listed for this composition, the calculation gives 0 meV/atom. The density is 11.72 g/cm³. As for the crystal system: tetragonal. The value obtained for the formation enthalpy at 0 K is 10.4 kJ per mole of atoms.

Unit cell a=2.9750 b=4.3176 c=4.3176 alpha=90.00 beta=90.00 gamma=90.00
Each line ends with the local moment (μB).
Sites, in units of the cell vectors:
Mn: 0.0000 0.0000 0.5000  1.64
Mn: 0.0000 0.5000 0.0000  1.64
Os: 0.5000 0.5000 0.5000  0.11
Zr: 0.5000 0.0000 0.0000  -0.34